A geometry-optimized Sc2CF2 structure, computed with PBE.

Summary:
Mass density ... 3.1 g/cm³
M_tot ... 0.00 Bohr magnetons per cell
Calculated volume ... 76 Å³ per cell
Formation energy without anion corrections ... -2.448 eV per atom

Cell lengths 3.2825, 3.2825, 8.4000 Å; angles 103.24, 103.24, 59.99 degrees
Closest atoms and distances in Å follow each position.
Element x y z (fractional)
Sc (0.2277, 0.2277, 0.1565)  3 F 2.21, 3 C 2.28
Sc (0.7723, 0.7723, 0.8435)  3 F 2.21, 3 C 2.28
C (0.5000, 0.5000, 0.0000)  6 Sc 2.28
F (0.0504, 0.0504, 0.7024)  3 Sc 2.21
F (0.9496, 0.9496, 0.2976)  3 Sc 2.21